Record 1
First-principles (GGA-PBE) data for LiTiO2 after structural relaxation, as listed in the Alexandria database.

Cell: 7.754 8.736 10.469 Å, 114.54 90.04 101.23°
Fractional positions:
Li  0.000  0.000  0.000
Li  0.000  0.348  0.001
Li  0.013  0.667  0.008
Li  0.100  0.727  0.742
Li  0.162  0.785  0.514
Li  0.251  0.844  0.249
Li  0.260  0.170  0.261
Li  0.346  0.228  0.989
Li  0.410  0.283  0.761
Li  0.498  0.337  0.496
Li  0.515  0.671  0.508
Li  0.597  0.730  0.249
Li  0.662  0.780  0.007
Li  0.759  0.167  0.764
Li  0.844  0.229  0.494
Li  0.911  0.291  0.269
Ti  0.067  0.058  0.761
Ti  0.073  0.394  0.757
Ti  0.182  0.112  0.498
Ti  0.187  0.454  0.491
Ti  0.334  0.563  0.013
Ti  0.335  0.902  0.010
Ti  0.435  0.617  0.751
Ti  0.439  0.947  0.739
Ti  0.578  0.390  0.249
Ti  0.581  0.062  0.255
Ti  0.671  0.114  0.009
Ti  0.678  0.453  0.995
Ti  0.825  0.568  0.524
Ti  0.830  0.902  0.512
Ti  0.926  0.948  0.249
Ti  0.935  0.617  0.251
O  0.031  0.537  0.389
O  0.053  0.201  0.373
O  0.058  0.863  0.381
O  0.124  0.925  0.122
O  0.131  0.591  0.133
O  0.208  0.317  0.885
O  0.208  0.647  0.877
O  0.217  0.975  0.874
O  0.278  0.038  0.639
O  0.299  0.366  0.630
O  0.306  0.702  0.619
O  0.377  0.424  0.376
O  0.378  0.087  0.380
O  0.441  0.153  0.127
O  0.459  0.810  0.134
O  0.472  0.479  0.125
O  0.539  0.535  0.882
O  0.547  0.866  0.881
O  0.553  0.201  0.873
O  0.624  0.929  0.623
O  0.626  0.578  0.627
O  0.706  0.313  0.385
O  0.712  0.644  0.379
O  0.725  0.975  0.374
O  0.798  0.032  0.128
O  0.801  0.700  0.122
O  0.806  0.366  0.131
O  0.879  0.425  0.876
O  0.891  0.097  0.892
O  0.951  0.151  0.629
O  0.957  0.809  0.634
O  0.979  0.478  0.621

Properties
As for the crystal system: triclinic.

=====

Record 2
First-principles (GGA-PBE) data for CdGeN2O after structural relaxation, as listed in the Alexandria database.

Cell: 4.246 4.246 4.260 Å, 90.00 90.00 90.00°
Fractional positions:
Cd  0.000  0.000  0.000
Ge  0.500  0.500  0.500
N  0.000  0.500  0.000
N  0.500  0.000  0.000
O  0.000  0.000  0.500

Properties
As for the crystal system: tetragonal.

=====

Record 3
First-principles (GGA-PBE) data for In2ReCl after structural relaxation, as listed in the Alexandria database.

Cell: 3.165 4.859 6.181 Å, 90.00 90.00 90.00°
Fractional positions:
In  0.000  0.000  0.000
In  0.500  0.000  0.500
Re  0.000  0.500  0.500
Cl  0.500  0.500  0.000

Properties
As for the crystal system: orthorhombic.

=====

Sequential E_form (uncorrected) output: -2.57, 1.60, 0.77 eV/atom